The following is a DFT calculation (PBE) of a geometry-optimized FeS structure.

It has space group Cmme (No. 67), with a = 4.819 Å, b = 5.537 Å, c = 5.739 Å, α = 90.00°, β = 90.00° and γ = 90.00°. Symmetry generates all atoms from Fe at (0.000, 0.000, 0.000) and S at (0.000, 0.250, 0.293).

Its total moment is 12.621 Bohr magnetons per cell. Its electronic total energy is -47.957 eV for the cell shown.